YH3Pt | PBE | relaxed

a b c (Å): 3.928 3.928 3.928
angles (deg): 90.00 90.00 90.00
Positions (direct):
H 0.000 0.500 0.000
H 0.000 0.000 0.500
H 0.500 0.000 0.000
Pt 0.500 0.500 0.500
Y 0.000 0.000 0.000

magnetic moment	0.0	μB per formula unit
SG	No. 221
total energy	-21.30	eV for the cell shown
theoretical density	7866	kg/m3